Entry 1:
The following is a PBE calculation of SmEr3Cu2 after structural relaxation, from Alexandria via LeMat-Bulk.

The crystal system is orthorhombic. As for the symmetry: Ibam, No. 72. The volume is 27.00 Å³/atom. As for the formation energy from the elements: 0.015 eV/atom. As for the excess energy over the best structure of this formula in the dataset: 0.185 eV/atom. As for the density of states at the Fermi level: 14.2 states/eV per cell. Its total energy is -4.4183 eV/atom.

Geometry as POSCAR:
```
SmEr3Cu2
1.0
-3.396 6.694 3.562
3.396 -6.694 3.562
3.396 6.694 -3.562
Sm Er Cu
2 6 4
Direct
0.000 0.000 0.000
0.500 0.500 0.000
0.014 0.250 0.764
0.250 0.750 0.500
0.486 0.250 0.236
0.514 0.750 0.764
0.750 0.250 0.500
0.986 0.750 0.236
0.143 0.707 0.850
0.357 0.207 0.564
0.643 0.793 0.436
0.857 0.293 0.150
```

Entry 2:
The following is a PBE calculation of Fe2OsAu after structural relaxation, from Alexandria via LeMat-Bulk.

The crystal system is tetragonal. As for the symmetry: I-4m2, No. 119. The volume is 13.86 Å³/atom. As for the formation energy from the elements: 0.393 eV/atom. As for the excess energy over the best structure of this formula in the dataset: 0.191 eV/atom. As for the density of states at the Fermi level: 5.6 states/eV per cell. Its total energy is -7.4653 eV/atom.

Geometry as POSCAR:
```
Fe2OsAu
1.0
-1.904 1.904 3.823
1.904 -1.904 3.823
1.904 1.904 -3.823
Fe Os Au
2 1 1
Direct
0.000 0.000 0.000
0.750 0.250 0.500
0.250 0.750 0.500
0.500 0.500 0.000
```